(1)
A relaxed structure of Rb2Cd3InSn4. Source: the Alexandria database, functional PBE.

Output
energy of formation from the pure elements = -152 meV/atom

```
data_Rb2Cd3InSn4
_chemical_formula_sum 'Rb2 Cd3 In1 Sn4'
_cell_length_a 4.954
_cell_length_b 4.954
_cell_length_c 12.759
_cell_angle_alpha 90.00
_cell_angle_beta 90.00
_cell_angle_gamma 90.00
_symmetry_space_group_name_H-M 'P -4 m 2'
_symmetry_Int_Tables_number 115
_symmetry_space_group_name_Hall 'P -4 -2'
loop_
_atom_site_label
_atom_site_type_symbol
_atom_site_fract_x
_atom_site_fract_y
_atom_site_fract_z
Rb1 Rb 0.000 0.500 0.248
Cd1 Cd 0.000 0.000 0.000
Cd2 Cd 0.000 0.500 0.639
In1 In 0.500 0.500 0.000
Sn1 Sn 0.000 0.000 0.500
Sn2 Sn 0.000 0.500 0.866
Sn3 Sn 0.500 0.500 0.500
```

(2)
A relaxed structure of Er5Tm4Zn. Source: the Alexandria database, functional PBE.

Output
energy of formation from the pure elements = -48 meV/atom

```
data_Er5Tm4Zn
_chemical_formula_sum 'Er5 Tm4 Zn1'
_cell_length_a 3.499
_cell_length_b 3.499
_cell_length_c 23.459
_cell_angle_alpha 90.00
_cell_angle_beta 90.00
_cell_angle_gamma 90.00
_symmetry_space_group_name_H-M 'P 4/m m m'
_symmetry_Int_Tables_number 123
_symmetry_space_group_name_Hall '-P 4 2'
loop_
_atom_site_label
_atom_site_type_symbol
_atom_site_fract_x
_atom_site_fract_y
_atom_site_fract_z
Er1 Er 0.000 0.000 0.000
Er2 Er 0.000 0.000 0.212
Er3 Er 0.000 0.000 0.424
Tm1 Tm 0.500 0.500 0.105
Tm2 Tm 0.500 0.500 0.316
Zn1 Zn 0.500 0.500 0.500
```

(3)
A relaxed structure of TmZrTl2. Source: the Alexandria database, functional PBE.

Output
energy of formation from the pure elements = -67 meV/atom

```
data_TmZrTl2
_chemical_formula_sum 'Tm3 Zr3 Tl6'
_cell_length_a 3.4718
_cell_length_b 3.4718
_cell_length_c 29.7326
_cell_angle_alpha 90.00
_cell_angle_beta 90.00
_cell_angle_gamma 120.00
_symmetry_space_group_name_H-M 'R -3 m'
_symmetry_Int_Tables_number 166
_symmetry_space_group_name_Hall '-R 3 2"'
loop_
_atom_site_label
_atom_site_type_symbol
_atom_site_fract_x
_atom_site_fract_y
_atom_site_fract_z
Tm1 Tm 0.0000 0.0000 0.0000
Zr1 Zr 0.0000 0.0000 0.5000
Tl1 Tl 0.0000 0.0000 0.2486
```

(4)
A relaxed structure of Pm2Nd4O. Source: the Alexandria database, functional PBE.

```
data_Pm2Nd4O
_chemical_formula_sum 'Pm4 Nd8 O2'
_cell_length_a 4.968
_cell_length_b 4.968
_cell_length_c 17.958
_cell_angle_alpha 90.00
_cell_angle_beta 90.00
_cell_angle_gamma 90.00
_symmetry_space_group_name_H-M 'I 4/m m m'
_symmetry_Int_Tables_number 139
_symmetry_space_group_name_Hall '-I 4 2'
loop_
_atom_site_label
_atom_site_type_symbol
_atom_site_fract_x
_atom_site_fract_y
_atom_site_fract_z
Pm1 Pm 0.000 0.000 0.162
Nd1 Nd 0.000 0.000 0.363
Nd2 Nd 0.000 0.500 0.000
O1 O 0.000 0.000 0.500
```

(5)
A relaxed structure of CuPdAu2. Source: the Alexandria database, functional PBE.

Output
energy of formation from the pure elements = -83 meV/atom
offset from the most stable computed form = 9 meV/atom

```
data_CuPdAu2
_chemical_formula_sum 'Cu1 Pd1 Au2'
_cell_length_a 2.980
_cell_length_b 2.980
_cell_length_c 7.160
_cell_angle_alpha 90.00
_cell_angle_beta 90.00
_cell_angle_gamma 90.00
_symmetry_space_group_name_H-M 'P 4/m m m'
_symmetry_Int_Tables_number 123
_symmetry_space_group_name_Hall '-P 4 2'
loop_
_atom_site_label
_atom_site_type_symbol
_atom_site_fract_x
_atom_site_fract_y
_atom_site_fract_z
Cu1 Cu 0.000 0.000 0.000
Pd1 Pd 0.000 0.000 0.500
Au1 Au 0.500 0.500 0.234
```

(6)
A relaxed structure of LaGaNiPd. Source: the Alexandria database, functional PBE.

Output
energy of formation from the pure elements = -662 meV/atom

```
data_LaGaNiPd
_chemical_formula_sum 'La3 Ga3 Ni3 Pd3'
_cell_length_a 4.3247
_cell_length_b 4.3247
_cell_length_c 14.7084
_cell_angle_alpha 90.00
_cell_angle_beta 90.00
_cell_angle_gamma 120.00
_symmetry_space_group_name_H-M 'R 3 m'
_symmetry_Int_Tables_number 160
_symmetry_space_group_name_Hall 'R 3 -2"'
loop_
_atom_site_label
_atom_site_type_symbol
_atom_site_fract_x
_atom_site_fract_y
_atom_site_fract_z
La1 La 0.0000 0.0000 0.0000
Ga1 Ga 0.0000 0.0000 0.5101
Ni1 Ni 0.0000 0.0000 0.2019
Pd1 Pd 0.0000 0.0000 0.7943
```

It is found that the total DFT energy (no corrections) values, taken in the order of the records, are -25.0 -42.5 -18.0 -37.9 -16.2 -21.6 eV/f.u..